No. 1
## SrRe2Si (PBE)

Data for a geometry-optimized SrRe2Si structure.

Cell lengths 5.9003, 5.9003, 5.9003 Å; angles 151.74, 128.13, 60.11 degrees
Element x y z (fractional)
Re 0.9573 0.9573 0.0000
Re 0.7449 0.2449 0.5000
Si 0.5422 0.5422 0.0000
Sr 0.2555 0.7555 0.5000

Summary:
- symmetry = Imm2 (44)
- calculated volume (Å³/f.u.) = 75.9
- formation energy from raw total energies (meV per atom) = 788
- crystal system = orthorhombic
- calculated total energy (eV for the cell shown) = -28.85

=====

No. 2
## SrRe2Si (PBE)

Data for a geometry-optimized SrRe2Si structure.

Cell lengths 2.8817, 2.8817, 9.0037 Å; angles 90.00, 90.00, 110.93 degrees
Element x y z (fractional)
Re 0.0000 0.0000 0.0487
Re 0.0000 0.0000 0.4513
Si 0.5000 0.5000 0.2500
Sr 0.5000 0.5000 0.7500

Summary:
- symmetry = Cmmm (65)
- calculated volume (Å³/f.u.) = 69.8
- formation energy from raw total energies (meV per atom) = 668
- crystal system = orthorhombic
- calculated total energy (eV for the cell shown) = -29.33

=====

No. 3
## SrReSi2 (PBE)

Data for a geometry-optimized SrReSi2 structure.

Cell lengths 4.6711, 4.6711, 4.6711 Å; angles 60.00, 60.00, 60.00 degrees
Element x y z (fractional)
Re 0.5000 0.5000 0.5000
Si 0.0000 0.0000 0.0000
Si 0.2500 0.2500 0.2500
Sr 0.7500 0.7500 0.7500

Summary:
- symmetry = F-43m (216)
- calculated volume (Å³/f.u.) = 72.1
- formation energy from raw total energies (meV per atom) = 919
- crystal system = cubic
- calculated total energy (eV for the cell shown) = -21.30

=====

No. 4
## SrRe2Si (PBE)

Data for a geometry-optimized SrRe2Si structure.

Cell lengths 3.0974, 3.0974, 7.8315 Å; angles 90.00, 90.00, 90.00 degrees
Element x y z (fractional)
Re 0.0000 0.0000 0.0673
Re 0.5000 0.5000 0.2495
Si 0.0000 0.0000 0.4415
Sr 0.5000 0.5000 0.7417

Summary:
- symmetry = P4mm (99)
- calculated volume (Å³/f.u.) = 75.1
- formation energy from raw total energies (meV per atom) = 225
- crystal system = tetragonal
- calculated total energy (eV for the cell shown) = -31.10

=====

No. 5
## SrRe2Si (PBE)

Data for a geometry-optimized SrRe2Si structure.

Cell lengths 9.4052, 9.4052, 9.4052 Å; angles 18.07, 18.07, 18.07 degrees
Element x y z (fractional)
Re 0.9835 0.9835 0.9835
Re 0.5165 0.5165 0.5165
Si 0.2500 0.2500 0.2500
Sr 0.7500 0.7500 0.7500

Summary:
- symmetry = R-3m (166)
- calculated volume (Å³/f.u.) = 69.9
- formation energy from raw total energies (meV per atom) = 692
- crystal system = trigonal
- calculated total energy (eV for the cell shown) = -29.23

=====

No. 6
## SrReSi2 (PBE)

Data for a geometry-optimized SrReSi2 structure.

Cell lengths 5.3410, 5.3410, 5.3410 Å; angles 134.95, 134.95, 65.61 degrees
Element x y z (fractional)
Re 0.7500 0.2500 0.5000
Si 0.0000 0.0000 0.0000
Si 0.2500 0.7500 0.5000
Sr 0.5000 0.5000 0.0000

Summary:
- symmetry = I-4m2 (119)
- calculated volume (Å³/f.u.) = 75.2
- formation energy from raw total energies (meV per atom) = 813
- crystal system = tetragonal
- calculated total energy (eV for the cell shown) = -21.72

=====

No. 7
## SrReSi2 (PBE)

Data for a geometry-optimized SrReSi2 structure.

Cell lengths 3.2822, 3.2822, 7.1668 Å; angles 90.00, 90.00, 90.00 degrees
Element x y z (fractional)
Re 0.5000 0.5000 0.8452
Si 0.0000 0.0000 0.9718
Si 0.5000 0.5000 0.1797
Sr 0.0000 0.0000 0.5033

Summary:
- symmetry = P4mm (99)
- calculated volume (Å³/f.u.) = 77.2
- formation energy from raw total energies (meV per atom) = 85
- crystal system = tetragonal
- calculated total energy (eV for the cell shown) = -24.64

=====

No. 8
## Sr4ReSi (PBE)

Data for a geometry-optimized Sr4ReSi structure.

Cell lengths 6.5429, 6.5429, 6.5429 Å; angles 60.00, 60.00, 60.00 degrees
Element x y z (fractional)
Sr 0.8739 0.3754 0.3754
Sr 0.3754 0.3754 0.8739
Sr 0.3754 0.8739 0.3754
Sr 0.3754 0.3754 0.3754
Re 0.7500 0.7500 0.7500
Si 0.0000 0.0000 0.0000

Summary:
- symmetry = F-43m (216)
- calculated volume (Å³/f.u.) = 198.1
- formation energy from raw total energies (meV per atom) = 1379
- crystal system = cubic
- calculated total energy (eV for the cell shown) = -16.32

=====

No. 9
## SrReSi (PBE)

Data for a geometry-optimized SrReSi structure.

Cell lengths 6.0871, 6.0870, 3.3482 Å; angles 74.04, 74.04, 31.93 degrees
Element x y z (fractional)
Re 0.9494 0.9494 0.0506
Si 0.3851 0.3851 0.6149
Sr 0.6655 0.6655 0.3345

Summary:
- symmetry = I4mm (107)
- calculated volume (Å³/f.u.) = 62.9
- formation energy from raw total energies (meV per atom) = 139
- crystal system = tetragonal
- calculated total energy (eV for the cell shown) = -19.14

=====

No. 10
## Sr2Re2Si (PBE)

Data for a geometry-optimized Sr2Re2Si structure.

Cell lengths 9.3948, 9.3948, 2.9250 Å; angles 90.00, 90.00, 90.00 degrees
Element x y z (fractional)
Re 0.0844 0.5844 0.5000
Re 0.5844 0.9156 0.5000
Re 0.9156 0.4156 0.5000
Re 0.4156 0.0844 0.5000
Si 0.0000 0.0000 0.0000
Si 0.5000 0.5000 0.0000
Sr 0.3030 0.8030 0.0000
Sr 0.8030 0.6970 0.0000
Sr 0.6970 0.1970 0.0000
Sr 0.1970 0.3030 0.0000

Summary:
- symmetry = P4/mbm (127)
- calculated volume (Å³/f.u.) = 129.1
- formation energy from raw total energies (meV per atom) = 1175
- crystal system = tetragonal
- calculated total energy (eV for the cell shown) = -55.62

=====

No. 11
## SrReSi2 (PBE)

Data for a geometry-optimized SrReSi2 structure.

Cell lengths 3.1825, 3.1825, 7.2104 Å; angles 90.00, 90.00, 90.00 degrees
Element x y z (fractional)
Re 0.5000 0.5000 0.7500
Si 0.0000 0.0000 0.9308
Si 0.0000 0.0000 0.5692
Sr 0.5000 0.5000 0.2500

Summary:
- symmetry = P4/mmm (123)
- calculated volume (Å³/f.u.) = 73.0
- formation energy from raw total energies (meV per atom) = -156
- crystal system = tetragonal
- calculated total energy (eV for the cell shown) = -25.60

=====

No. 12
## SrRe2Si (PBE)

Data for a geometry-optimized SrRe2Si structure.

Cell lengths 5.8886, 5.8886, 5.8886 Å; angles 153.43, 127.97, 59.36 degrees
Element x y z (fractional)
Re 0.9573 0.9573 0.0000
Re 0.5427 0.5427 0.0000
Si 0.7500 0.2500 0.5000
Sr 0.2500 0.7500 0.5000

Summary:
- symmetry = Immm (71)
- calculated volume (Å³/f.u.) = 71.5
- formation energy from raw total energies (meV per atom) = 593
- crystal system = orthorhombic
- calculated total energy (eV for the cell shown) = -29.63

=====

No. 13
## SrReSi2 (PBE)

Data for a geometry-optimized SrReSi2 structure.

Cell lengths 4.6389, 4.6389, 4.6389 Å; angles 60.00, 60.00, 60.00 degrees
Element x y z (fractional)
Re 0.5000 0.5000 0.5000
Si 0.2500 0.2500 0.2500
Si 0.7500 0.7500 0.7500
Sr 0.0000 0.0000 0.0000

Summary:
- symmetry = Fm-3m (225)
- calculated volume (Å³/f.u.) = 70.6
- formation energy from raw total energies (meV per atom) = 413
- crystal system = cubic
- calculated total energy (eV for the cell shown) = -23.32

=====

No. 14
## SrReSiTc2 (PBE)

Data for a geometry-optimized SrReSiTc2 structure.

Cell lengths 4.6862, 4.6862, 5.6719 Å; angles 90.00, 90.00, 90.00 degrees
Element x y z (fractional)
Re 0.0000 0.0000 0.0000
Si 0.5000 0.5000 0.5000
Tc 0.0000 0.5000 0.0000
Tc 0.5000 0.0000 0.0000
Sr 0.0000 0.0000 0.5000

Summary:
- symmetry = P4/mmm (123)
- calculated volume (Å³/f.u.) = 124.6
- formation energy from raw total energies (meV per atom) = 1506
- crystal system = tetragonal
- calculated total energy (eV for the cell shown) = -32.75

=====

No. 15
## SrRe2SiTe (PBE)

Data for a geometry-optimized SrRe2SiTe structure.

Cell lengths 4.5816, 5.5499, 4.5816 Å; angles 90.00, 90.00, 90.00 degrees
Element x y z (fractional)
Re 0.0000 0.0000 0.5000
Re 0.5000 0.0000 0.0000
Si 0.0000 0.0000 0.0000
Te 0.0000 0.5000 0.0000
Sr 0.5000 0.5000 0.5000

Summary:
- symmetry = P4/mmm (123)
- calculated volume (Å³/f.u.) = 116.5
- formation energy from raw total energies (meV per atom) = 927
- crystal system = tetragonal
- calculated total energy (eV for the cell shown) = -30.51